Density functional theory data (PBE-GGA) for HoUN after structural relaxation.

Cell lengths 3.035, 6.262, 12.014 Å; angles 90.00, 90.00, 90.00 degrees
Each line ends with the local moment (μB).
Positions (direct):
Ho 0.500 0.250 0.750  -0.04
Ho 0.500 0.750 0.750  -0.04
N 0.000 0.000 0.650  -0.05
U 0.500 0.500 0.991  1.86
Ho 0.000 0.250 0.250  -0.04
N 0.500 0.500 0.350  -0.05
N 0.500 0.000 0.150  -0.05
U 0.000 0.500 0.491  1.86
U 0.500 0.000 0.509  1.86
N 0.000 0.500 0.850  -0.05
Ho 0.000 0.750 0.250  -0.04
U 0.000 0.000 0.009  1.86

Total moment, μB/cell: 7.90
Space group: Cmcm (63)
Energy above the most stable polymorph in this dataset, eV/f.u.: 0.00
Total energy, eV/atom: -8.54
Formation energy (no corrections), eV per formula unit: -1.4

=====

Density functional theory data (PBE-GGA) for LiNd2Mn after structural relaxation.

Cell lengths 3.625, 3.625, 8.063 Å; angles 90.00, 90.00, 90.00 degrees
Each line ends with the local moment (μB).
Positions (direct):
Li 0.500 0.500 0.000  0.00
Mn 0.500 0.500 0.500  3.41
Nd 0.000 0.000 0.279  -0.23
Nd 0.000 0.000 0.721  -0.23

Total moment, μB/cell: 2.75
Space group: P4/mmm (123)
Total energy, eV/atom: -4.99

=====

Density functional theory data (PBE-GGA) for AlP4Se after structural relaxation.

Cell lengths 5.778, 5.778, 5.778 Å; angles 60.00, 60.00, 60.00 degrees
Each line ends with the local moment (μB).
Positions (direct):
P 0.404 0.404 0.404  0.03
Al 0.000 0.000 0.000  0.01
Se 0.750 0.750 0.750  0.51
P 0.404 0.404 0.788  0.03
P 0.788 0.404 0.404  0.03
P 0.404 0.788 0.404  0.03

Total moment, μB/cell: 1.03
Space group: F-43m (216)
Total energy, eV/atom: -4.32
Formation energy (no corrections), eV per formula unit: 3.0

=====

Density functional theory data (PBE-GGA) for Ba2ErGa2O6 after structural relaxation.

Cell lengths 6.077, 6.077, 6.945 Å; angles 64.06, 64.06, 60.00 degrees
Each line ends with the local moment (μB).
Positions (direct):
O 0.758 0.242 0.242  0.07
Ga 0.569 0.569 0.292  0.16
O 0.242 0.758 0.758  0.07
O 0.242 0.242 0.758  0.07
O 0.758 0.758 0.242  0.07
Ba 0.788 0.788 0.637  0.00
Ba 0.212 0.212 0.363  0.00
Ga 0.431 0.431 0.708  0.16
O 0.758 0.242 0.758  0.07
Er 0.000 0.000 0.000  0.10
O 0.242 0.758 0.242  0.07

Total moment, μB/cell: 0.95
Space group: R-3m (166)
Total energy, eV/atom: -6.41
Formation energy (no corrections), eV per formula unit: -26.3

=====

Density functional theory data (PBE-GGA) for Ga4Ag4Sn after structural relaxation.

Cell lengths 7.249, 7.249, 7.193 Å; angles 90.00, 90.00, 90.00 degrees
Positions (direct):
Ag 0.500 0.806 0.762
Ga 0.711 0.500 0.868
Ga 0.789 0.000 0.632
Ag 0.306 0.000 0.262
Ag 0.694 0.000 0.262
Ga 0.211 0.000 0.632
Sn 0.500 0.500 0.500
Ga 0.000 0.211 0.368
Ga 0.289 0.500 0.868
Ga 0.000 0.789 0.368
Ag 0.000 0.694 0.738
Ag 0.500 0.194 0.762
Ga 0.500 0.711 0.132
Ag 0.194 0.500 0.238
Ga 0.500 0.289 0.132
Ag 0.000 0.306 0.738
Sn 0.000 0.000 0.000
Ag 0.806 0.500 0.238

Total moment, μB/cell: 0.00
Space group: P4_2/nmc (137)
Total energy, eV/atom: -2.96

=====

Density functional theory data (PBE-GGA) for Ac2CdHg after structural relaxation.

Cell lengths 5.729, 7.035, 7.035 Å; angles 109.32, 90.00, 90.00 degrees
Each line ends with the local moment (μB).
Positions (direct):
Hg 0.750 0.630 0.370  0.01
Hg 0.250 0.370 0.630  0.01
Cd 0.250 0.879 0.121  0.00
Cd 0.750 0.121 0.879  0.00
Ac 0.250 0.872 0.622  0.06
Ac 0.750 0.622 0.872  0.06
Ac 0.250 0.378 0.128  0.06
Ac 0.750 0.128 0.378  0.06

Total moment, μB/cell: 0.74
Space group: Cmcm (63)
Energy above the most stable polymorph in this dataset, eV/f.u.: 0.00
Total energy, eV/atom: -2.74

=====

Density functional theory data (PBE-GGA) for MgAg2Au after structural relaxation.

Cell lengths 5.019, 5.019, 3.037 Å; angles 90.00, 90.00, 109.22 degrees
Positions (direct):
Mg 0.000 0.500 0.500
Ag 0.500 0.500 0.000
Au 0.500 0.000 0.500
Ag 0.000 0.000 0.000

Total moment, μB/cell: 0.00
Space group: Cmmm (65)
Total energy, eV/atom: -2.81

=====

Density functional theory data (PBE-GGA) for AcThSi2O8 after structural relaxation.

Cell lengths 6.117, 6.117, 6.117 Å; angles 106.42, 106.42, 115.76 degrees
Positions (direct):
Si 0.500 0.500 0.000
Th 0.000 0.000 0.000
Ac 0.250 0.750 0.500
O 0.836 0.668 0.168
O 0.501 0.668 0.832
O 0.415 0.095 0.320
O 0.332 0.164 0.832
O 0.905 0.585 0.680
O 0.332 0.499 0.168
O 0.774 0.095 0.680
Si 0.750 0.250 0.500
O 0.905 0.226 0.320

Total moment, μB/cell: 0.00
Space group: I-4m2 (119)
Total energy, eV/atom: -8.22
Formation energy (no corrections), eV per formula unit: -36.5

=====

- total moment of number 1 (HoUN)?
  7.90 μB/cell

=====

- Number 8 is which compound?
  AcThSi2O8

=====

What did the seventh record say?
Density functional theory data (PBE-GGA) for MgAg2Au after structural relaxation.

Cell lengths 5.019, 5.019, 3.037 Å; angles 90.00, 90.00, 109.22 degrees
Positions (direct):
Mg 0.000 0.500 0.500
Ag 0.500 0.500 0.000
Au 0.500 0.000 0.500
Ag 0.000 0.000 0.000

Total moment, μB/cell: 0.00
Space group: Cmmm (65)
Total energy, eV/atom: -2.81